Version i
Below is Ho2Tm6Zr after structural relaxation, with properties calculated at the PBE-GGA level.

a = 16.1125 Å, b = 11.4772 Å, c = 5.8081 Å
α = 90.00°, β = 98.09°, γ = 90.00°
Closest atoms and distances in Å follow each position.
Space group C2/c (No. 15)
One atom of each set of equivalent atoms:
Ho  0.1733  0.1004  0.0709 [8 per cell]  9 Tm 3.32-3.67, 2 Ho 3.71
Tm  0.0526  0.1353  0.5196 [8 per cell]  1 Zr 3.16, 3 Ho 3.32-3.53, 4 Tm 3.35-3.53
Tm  0.1040  0.3913  0.8081 [8 per cell]  3 Zr 3.22-3.44, 5 Tm 3.32-3.43, 1 Ho 3.56
Tm  0.2048  0.3538  0.3533 [8 per cell]  4 Tm 3.16-3.38, 1 Zr 3.28, 3 Ho 3.34-3.44
Zr  0.0000  0.3689  0.2500 [4 per cell]  10 Tm 3.16-3.44

* spin magnetization: 0.00 Bohr magnetons per cell
* density: 8.96 g cm⁻³
* V: 1063.4 Å³/cell
* density of states at the Fermi level: 56.8 states/eV per cell

Version ii
Below is Ho2Tm6Zr after structural relaxation, with properties calculated at the PBE-GGA level.

a = 3.4982 Å, b = 3.4982 Å, c = 25.3898 Å
α = 90.00°, β = 90.00°, γ = 120.00°
Closest atoms and distances in Å follow each position.
Space group P-6m2 (No. 187)
One atom of each set of equivalent atoms:
Ho  0.0000  0.0000  0.1757 [2 per cell]  6 Tm 3.44-3.47, 6 Ho 3.50
Tm  0.0000  0.0000  0.3988 [2 per cell]  3 Zr 3.27, 9 Tm 3.49-3.50
Tm  0.6667  0.3333  0.0659 [2 per cell]  7 Tm 3.35-3.50, 3 Ho 3.44
Tm  0.6667  0.3333  0.2867 [2 per cell]  3 Ho 3.47, 9 Tm 3.49-3.50
Zr  0.6667  0.3333  0.5000 [1 per cell]  6 Tm 3.27, 6 Zr 3.50

* spin magnetization: 1.72 Bohr magnetons per cell
* density: 8.85 g cm⁻³
* V: 269.1 Å³/cell
* density of states at the Fermi level: 15.6 states/eV per cell

version ii ends up most stable, edging out the next structure by 58 meV/atom.

Version i
Below is HoTmZr after structural relaxation, with properties calculated at the PBE-GGA level.

a = 4.6424 Å, b = 4.6424 Å, c = 8.1613 Å
α = 90.00°, β = 90.00°, γ = 90.00°
Closest atoms and distances in Å follow each position.
Space group P4/nmm (No. 129, origin choice 2)
One atom of each set of equivalent atoms:
Ho  0.2500  0.2500  0.2106 [2 per cell]  5 Tm 3.28-3.48, 4 Zr 3.31
Tm  0.2500  0.2500  0.7848 [2 per cell]  5 Ho 3.28-3.48, 4 Zr 3.28
Zr  0.2500  0.7500  0.5000 [2 per cell]  4 Zr 3.28, 4 Tm 3.28, 4 Ho 3.31

* spin magnetization: 0.00 Bohr magnetons per cell
* density: 8.03 g cm⁻³
* V: 175.9 Å³/cell
* density of states at the Fermi level: 7.7 states/eV per cell

Version ii
Below is HoTmZr after structural relaxation, with properties calculated at the PBE-GGA level.

a = 5.2824 Å, b = 5.2824 Å, c = 6.8428 Å
α = 90.00°, β = 90.00°, γ = 120.00°
Closest atoms and distances in Å follow each position.
Space group P6/mmm (No. 191)
One atom of each set of equivalent atoms:
Ho  0.3333  0.6667  0.0000 [2 per cell]  3 Ho 3.05
Tm  0.0000  0.0000  0.2650 [2 per cell]  1 Tm 3.22, 6 Zr 3.45, 6 Ho 3.55
Zr  0.3333  0.6667  0.5000 [2 per cell]  3 Zr 3.05

* spin magnetization: 0.00 Bohr magnetons per cell
* density: 8.54 g cm⁻³
* V: 165.4 Å³/cell
* density of states at the Fermi level: 10.1 states/eV per cell

Version iii
Below is HoTmZr after structural relaxation, with properties calculated at the PBE-GGA level.

a = 5.3217 Å, b = 5.3217 Å, c = 3.3634 Å
α = 90.00°, β = 90.00°, γ = 120.00°
Closest atoms and distances in Å follow each position.
Space group P-6m2 (No. 187)
One atom of each set of equivalent atoms:
Ho  0.0000  0.0000  0.0000 [1 per cell]  2 Ho 3.36, 6 Zr 3.50, 6 Tm 3.50
Tm  0.3333  0.6667  0.5000 [1 per cell]  3 Zr 3.07, 2 Tm 3.36
Zr  0.6667  0.3333  0.5000 [1 per cell]  3 Tm 3.07, 2 Zr 3.36

* spin magnetization: 0.69 Bohr magnetons per cell
* density: 8.56 g cm⁻³
* V: 82.5 Å³/cell
* density of states at the Fermi level: 5.5 states/eV per cell

version ii ends up most stable, edging out the next structure by 22 meV/atom.

Version i
Below is HoTmZr after structural relaxation, with properties calculated at the PBE-GGA level.

a = 3.3843 Å, b = 3.3843 Å, c = 14.5242 Å
α = 90.00°, β = 90.00°, γ = 90.00°
Closest atoms and distances in Å follow each position.
Space group I4mm (No. 107)
One atom of each set of equivalent atoms:
Ho  0.0000  0.0000  0.0000 [2 per cell]  4 Zr 3.31, 4 Ho 3.38, 4 Tm 3.62
Tm  0.0000  0.0000  0.6869 [2 per cell]  4 Zr 3.29, 4 Tm 3.38, 4 Ho 3.62
Zr  0.0000  0.0000  0.3423 [2 per cell]  4 Tm 3.29, 4 Ho 3.31, 4 Zr 3.38

* spin magnetization: 0.00 Bohr magnetons per cell
* density: 8.49 g cm⁻³
* V: 166.4 Å³/cell
* density of states at the Fermi level: 8.7 states/eV per cell

Version ii
Below is HoTmZr after structural relaxation, with properties calculated at the PBE-GGA level.

a = 3.4303 Å, b = 17.9784 Å, c = 5.4224 Å
α = 90.00°, β = 90.00°, γ = 90.00°
Closest atoms and distances in Å follow each position.
Space group Cmcm (No. 63)
One atom of each set of equivalent atoms:
Ho  0.0000  0.2146  0.2500 [4 per cell]  4 Tm 3.37-3.70, 2 Zr 3.39, 6 Ho 3.43-3.45
Tm  0.0000  0.1031  0.7500 [4 per cell]  6 Zr 3.27-3.34, 2 Ho 3.37, 2 Tm 3.43
Zr  0.0000  0.4481  0.7500 [4 per cell]  6 Tm 3.27-3.34, 4 Zr 3.29-3.43, 2 Ho 3.39

* spin magnetization: 0.00 Bohr magnetons per cell
* density: 8.44 g cm⁻³
* V: 334.4 Å³/cell
* density of states at the Fermi level: 17.9 states/eV per cell

version ii ends up most stable, edging out the next structure by 31 meV/atom.

Version i
Below is HoTm3Zr after structural relaxation, with properties calculated at the PBE-GGA level.

a = 4.3139 Å, b = 15.1535 Å, c = 9.9423 Å
α = 90.00°, β = 90.00°, γ = 90.00°
Closest atoms and distances in Å follow each position.
Space group Cmmm (No. 65)
One atom of each set of equivalent atoms:
Ho  0.0000  0.1551  0.0000 [4 per cell]  6 Tm 3.38-3.68, 2 Ho 3.59
Tm  0.0000  0.0000  0.3240 [4 per cell]  2 Zr 3.27, 5 Tm 3.44-3.50
Tm  0.0000  0.3279  0.2606 [8 per cell]  4 Tm 3.20-3.44, 3 Zr 3.22-3.25, 2 Ho 3.38
Zr  0.0000  0.1823  0.5000 [4 per cell]  2 Zr 2.98, 8 Tm 3.22-3.27

* spin magnetization: 0.00 Bohr magnetons per cell
* density: 7.80 g cm⁻³
* V: 649.9 Å³/cell
* density of states at the Fermi level: 22.8 states/eV per cell

Version ii
Below is HoTm3Zr after structural relaxation, with properties calculated at the PBE-GGA level.

a = 3.4196 Å, b = 9.0913 Å, c = 9.7246 Å
α = 74.37°, β = 89.96°, γ = 79.18°
Closest atoms and distances in Å follow each position.
Space group P-1 (No. 2)
One atom of each set of equivalent atoms:
Ho  0.1025  0.2933  0.0586 [2 per cell]  7 Tm 3.32-3.55, 3 Ho 3.42-3.55, 2 Zr 3.45-3.46
Tm  0.1069  0.2871  0.5460 [2 per cell]  3 Zr 3.25-3.30, 8 Tm 3.39-3.57
Tm  0.2963  0.9070  0.1579 [2 per cell]  3 Ho 3.32-3.55, 2 Zr 3.37, 7 Tm 3.39-3.54
Tm  0.4967  0.5049  0.7490 [2 per cell]  4 Ho 3.39-3.53, 7 Tm 3.42-3.57, 1 Zr 3.47
Zr  0.2963  0.9084  0.6382 [2 per cell]  4 Zr 3.22-3.42, 6 Tm 3.25-3.47, 2 Ho 3.45-3.46

* spin magnetization: 0.00 Bohr magnetons per cell
* density: 8.87 g cm⁻³
* V: 285.6 Å³/cell
* density of states at the Fermi level: 13.1 states/eV per cell

version ii ends up most stable, edging out the next structure by 287 meV/atom.